Record 1
{"formula": "PrCuAu11", "functional": "PBE", "state": "relaxed", "dos_at_fermi_per_ev_cell": 4.3, "dft_energy_ev_per_atom": -3.661, "lattice": [[5.152, 0.013, 2.146], [2.537, 6.667, 1.057], [-0.027, 0.007, 7.320]], "species": ["Au", "Au", "Au", "Au", "Cu", "Au", "Au", "Pr", "Au", "Au", "Au", "Au", "Au"], "fractional_positions": [[0.507, 0.218, 0.790], [0.296, 0.218, 0.210], [0.500, 0.000, 0.500], [0.000, 0.000, 0.500], [0.500, 0.500, 0.000], [0.979, 0.353, 0.663], [0.704, 0.782, 0.790], [0.000, 0.000, 0.000], [0.493, 0.782, 0.210], [0.358, 0.647, 0.663], [0.642, 0.353, 0.337], [0.021, 0.647, 0.337], [0.000, 0.500, 0.000]]}

=====

Record 2
{"formula": "Pr4Cu2Au5", "functional": "PBE", "state": "relaxed", "dos_at_fermi_per_ev_cell": 7.0, "dft_energy_ev_per_atom": -4.580, "lattice": [[-2.482, 1.505, -2.732], [2.438, -5.069, -5.009], [-6.264, -5.560, 2.627]], "species": ["Au", "Au", "Pr", "Pr", "Au", "Pr", "Pr", "Au", "Au", "Cu", "Cu"], "fractional_positions": [[0.000, 0.585, 0.351], [0.000, 0.415, 0.649], [0.500, 0.782, 0.136], [0.500, 0.218, 0.864], [0.000, 0.128, 0.130], [0.500, 0.742, 0.613], [0.500, 0.258, 0.387], [0.000, 0.500, 0.000], [0.000, 0.872, 0.870], [0.000, 0.933, 0.377], [0.000, 0.067, 0.623]]}

=====

Record 3
{"formula": "Pr2CuSi4Au3", "functional": "PBE", "state": "relaxed", "dos_at_fermi_per_ev_cell": 1.8, "raw_formation_energy_ev_per_atom": -0.562, "dft_energy_ev_per_atom": -5.080, "lattice": [[-1.661, 2.538, 3.055], [1.875, -2.418, 3.028], [8.400, 5.995, -0.414]], "species": ["Pr", "Si", "Pr", "Si", "Si", "Si", "Cu", "Au", "Au", "Au"], "fractional_positions": [[0.000, 0.500, 0.744], [0.000, 0.000, 0.000], [0.500, 0.000, 0.256], [0.500, 0.500, 0.000], [0.500, 0.000, 0.628], [0.000, 0.500, 0.372], [0.500, 0.500, 0.500], [0.000, 0.000, 0.500], [0.500, 0.000, 0.869], [0.000, 0.500, 0.131]]}

=====

Record 4
{"formula": "Pr2Cu4Si3Au", "functional": "PBE", "state": "relaxed", "dos_at_fermi_per_ev_cell": 5.6, "raw_formation_energy_ev_per_atom": -0.475, "dft_energy_ev_per_atom": -5.024, "lattice": [[4.203, 0.000, 0.000], [0.000, 4.203, 0.000], [0.000, 0.000, 9.945]], "species": ["Pr", "Cu", "Si", "Cu", "Si", "Si", "Cu", "Pr", "Au", "Cu"], "fractional_positions": [[0.500, 0.000, 0.242], [0.000, 0.500, 0.359], [0.000, 0.500, 0.125], [0.500, 0.500, 0.000], [0.500, 0.000, 0.875], [0.000, 0.000, 0.500], [0.000, 0.000, 0.000], [0.000, 0.500, 0.758], [0.500, 0.500, 0.500], [0.500, 0.000, 0.641]]}

=====

no.,magnetic moment (μB per formula unit)
1,0.000
2,0.000
3,0.000
4,0.000